A geometry-optimized Er2TmAl3Si2Pt structure, computed with PBE.

Cell lengths 4.1983, 6.8523, 6.8523 Å; angles 119.99, 90.00, 90.00 degrees
Closest atoms and distances in Å follow each position.
Atoms (fractional coordinates):
1 Er 0.0000 0.2088 0.7912  1 Pt 2.87, 4 Si 2.94, 2 Al 3.16
2 Er 0.0000 0.7912 0.2088  1 Pt 2.87, 4 Si 2.94, 2 Al 3.16
3 Tm 0.0000 0.3738 0.3738  1 Pt 2.85, 4 Si 2.94, 2 Al 3.16
4 Al 0.5000 0.0294 0.0294  2 Pt 2.66, 2 Si 2.67, 2 Al 2.83
5 Al 0.5000 0.5527 0.7908  2 Pt 2.66, 2 Si 2.67-2.68, 2 Al 2.83
6 Al 0.5000 0.7908 0.5527  2 Pt 2.66, 2 Si 2.67-2.68, 2 Al 2.83
7 Si 0.5000 0.1251 0.4575  3 Al 2.67-2.68, 2 Tm 2.94, 4 Er 2.94
8 Si 0.5000 0.4575 0.1251  3 Al 2.67-2.68, 2 Tm 2.94, 4 Er 2.94
9 Pt 0.0000 0.7899 0.7899  6 Al 2.66, 1 Tm 2.85, 2 Er 2.87

Computed properties:
Total energy (eV per atom): -5.52
Space-group type: Amm2
Calculated density (Mg/m³): 8.13
Spin magnetization (μB per formula unit): 0.005